## Al4Zn2Re (PBE)

Data for a relaxed Al4Zn2Re crystal.

The structure in extended XYZ format:
```
7
Lattice="6.783 0.000 0.000 0.000 6.783 0.000 -3.391 -3.391 2.349" Properties=species:S:1:pos:R:3 pbc="T T T"
Al 5.479 1.304 0.002
Al 1.304 5.479 0.002
Al 2.088 2.087 2.347
Al -2.087 -2.088 2.347
Zn 3.391 0.000 1.174
Zn 0.000 3.391 1.174
Re 3.391 3.391 0.000
```

## Properties
Magnetic moment = 0.00 μB/f.u.
Energy relative to the elements = 1.9 eV per formula unit
DFT total energy = -4.01 eV/atom


## MnCdTc (PBE)

Data for a relaxed MnCdTc crystal.

The structure in extended XYZ format:
```
3
Lattice="2.769 0.000 0.000 -1.384 2.398 0.000 0.000 0.000 6.868" Properties=species:S:1:pos:R:3 pbc="T T T"
Cd 0.000 0.000 0.061
Mn 1.384 0.799 2.465
Tc 0.000 1.599 4.343
```

## Properties
Magnetic moment = 0.00 μB/f.u.
Energy relative to the elements = 1.0 eV per formula unit
DFT total energy = -6.49 eV/atom


## NaThMoN4 (PBE)

Data for a relaxed NaThMoN4 crystal.

The structure in extended XYZ format:
```
14
Lattice="6.325 0.000 1.238 0.000 5.983 0.000 -1.131 0.000 7.177" Properties=species:S:1:pos:R:3 pbc="T T T"
Na 2.956 4.487 6.992
Na 2.237 1.496 1.423
Th 4.735 4.487 4.025
Th 0.458 1.496 4.390
Mo 1.690 4.487 2.891
Mo 3.504 1.496 5.523
N 4.708 2.914 5.807
N 0.485 5.906 2.608
N 0.485 3.069 2.608
N 4.708 0.077 5.807
N 3.377 4.487 2.068
N 1.817 1.496 6.347
N 2.223 4.487 4.655
N 2.971 1.496 3.759
```

## Properties
Formation energy (no corrections) = -376 kJ/mol of formula units
Magnetic moment = 1.05 μB/f.u.
DFT total energy = -8.11 eV/atom


## Ca5Ag2Ge (PBE)

Data for a relaxed Ca5Ag2Ge crystal.

The structure in extended XYZ format:
```
16
Lattice="0.285 -7.729 -1.531 7.859 0.169 0.610 -4.607 2.316 7.752" Properties=species:S:1:pos:R:3 pbc="T T T"
Ca 2.242 -2.312 5.057
Ca 6.531 -5.499 1.644
Ca 0.000 0.000 0.000
Ca 4.072 -3.780 -0.460
Ca -2.993 0.255 5.188
Ca -1.644 -3.583 4.517
Ca 0.893 1.527 5.728
Ca 5.181 -1.660 2.315
Ca 2.645 -6.771 1.103
Ca 1.295 -2.932 1.775
Ag 2.989 -0.896 0.039
Ag 1.154 -4.803 -0.880
Ag 6.991 -2.757 -0.041
Ag 5.155 -6.664 -0.960
Ge 3.805 -4.512 3.186
Ge -0.267 -0.732 3.646
```

## Properties
Magnetic moment = 0.00 μB/f.u.
Energy relative to the elements = -3.0 eV per formula unit
DFT total energy = -2.91 eV/atom


## SrAl12Pt6 (PBE)

Data for a relaxed SrAl12Pt6 crystal.

The structure in extended XYZ format:
```
19
Lattice="7.246 -0.047 -0.066 -1.841 7.009 -0.066 -1.841 -2.372 6.596" Properties=species:S:1:pos:R:3 pbc="T T T"
Sr 0.000 0.000 0.000
Al 5.266 -0.410 3.232
Al 3.991 2.712 3.820
Al 1.638 2.110 5.544
Al 1.925 0.051 2.645
Al 1.925 2.480 0.920
Al -0.428 1.878 2.645
Al -1.702 1.404 5.786
Al 1.782 5.892 0.678
Al -1.702 5.000 3.232
Al 5.266 3.187 0.678
Al 1.782 -1.301 5.786
Al 1.638 4.539 3.820
Pt 4.074 1.235 1.739
Pt 0.186 0.240 4.588
Pt 0.186 4.253 1.739
Pt 3.377 4.350 1.876
Pt -0.510 3.356 4.726
Pt 3.377 0.337 4.726
```

## Properties
Magnetic moment = 0.00 μB/f.u.
Energy relative to the elements = -15.9 eV per formula unit
DFT total energy = -5.20 eV/atom


## BaTa2Mo (PBE)

Data for a relaxed BaTa2Mo crystal.

The structure in extended XYZ format:
```
4
Lattice="-6.650 -3.908 1.926 -2.733 -7.454 0.402 5.020 5.967 1.551" Properties=species:S:1:pos:R:3 pbc="T T T"
Ba -4.146 -5.020 1.029
Mo -1.059 -3.410 1.523
Ta -0.982 -1.190 0.244
Ta -2.869 -1.457 2.248
```

## Properties
Magnetic moment = 0.00 μB/f.u.
Energy relative to the elements = 3.2 eV per formula unit
DFT total energy = -8.30 eV/atom


## LaNi2Te (PBE)

Data for a relaxed LaNi2Te crystal.

The structure in extended XYZ format:
```
4
Lattice="4.893 0.000 0.000 2.447 4.238 0.000 2.447 1.413 3.995" Properties=species:S:1:pos:R:3 pbc="T T T"
La 4.893 2.825 1.998
Ni 0.000 0.000 0.000
Ni 2.447 1.413 0.999
Te 7.340 4.238 2.997
```

## Properties
Formation energy (no corrections) = -10 kJ/mol of formula units
Magnetic moment = 0.01 μB/f.u.
DFT total energy = -4.93 eV/atom


## ZnFe2Mo (PBE)

Data for a relaxed ZnFe2Mo crystal.

The structure in extended XYZ format:
```
4
Lattice="4.929 0.014 -0.018 -2.140 4.441 -0.018 0.442 0.707 2.417" Properties=species:S:1:pos:R:3 pbc="T T T"
Fe 0.000 0.000 0.000
Fe 1.395 2.227 -0.018
Mo 2.686 0.360 1.200
Zn -0.849 2.574 1.200
```

## Properties
Magnetic moment = 4.16 μB/f.u.
Energy relative to the elements = 0.7 eV per formula unit
DFT total energy = -7.07 eV/atom